[1]
# Na2CaNpCl8

A relaxed Na2CaNpCl8 crystal (PBE, Alexandria).

abc: 6.485 8.389 6.632
angles: 90.00 93.84 90.00
Space group P2/m (No. 10)
Inequivalent atoms, fractional coordinates:
Na 0.000 0.235 0.000 x2
Ca 0.500 0.000 0.500 x1
Np 0.500 0.500 0.500 x1
Cl 0.220 0.000 0.192 x2
Cl 0.227 0.500 0.193 x2
Cl 0.298 0.268 0.668 x4

Computed properties:
* E_form (uncorrected): -1867 meV/atom
* N(E_F): 4.7 states/eV per cell

---

[2]
# NaCaClO

A relaxed NaCaClO crystal (PBE, Alexandria).

abc: 4.2811 4.2811 31.1580
angles: 90.00 90.00 120.00
Space group R-3m (No. 166, hexagonal axes)
Inequivalent atoms, fractional coordinates:
Na 0.0000 0.0000 0.2205 x6
Ca 0.0000 0.0000 0.3694 x6
Cl 0.0000 0.0000 0.1201 x6
O 0.0000 0.0000 0.2983 x6

Computed properties:
* E_form (uncorrected): -2131 meV/atom
* N(E_F): 0.0 states/eV per cell

---

[3]
# Na3Ca2Cl3O2

A relaxed Na3Ca2Cl3O2 crystal (PBE, Alexandria).

abc: 4.375 4.375 22.576
angles: 90.00 90.00 90.00
Space group I4/mmm (No. 139)
Inequivalent atoms, fractional coordinates:
Na 0.000 0.000 0.000 x2
Na 0.000 0.000 0.380 x4
Ca 0.000 0.500 0.250 x4
Cl 0.000 0.000 0.124 x4
Cl 0.000 0.000 0.500 x2
O 0.000 0.000 0.279 x4

Computed properties:
* E_form (uncorrected): -2129 meV/atom
* N(E_F): 0.0 states/eV per cell

---

Question: Which value of E_form (uncorrected) does entry 1 give?
Answer: -1867 meV/atom

---

Please write out number 2 again, unchanged.
# NaCaClO

A relaxed NaCaClO crystal (PBE, Alexandria).

abc: 4.2811 4.2811 31.1580
angles: 90.00 90.00 120.00
Space group R-3m (No. 166, hexagonal axes)
Inequivalent atoms, fractional coordinates:
Na 0.0000 0.0000 0.2205 x6
Ca 0.0000 0.0000 0.3694 x6
Cl 0.0000 0.0000 0.1201 x6
O 0.0000 0.0000 0.2983 x6

Computed properties:
* E_form (uncorrected): -2131 meV/atom
* N(E_F): 0.0 states/eV per cell

---

Copy entry 3 word for word.
# Na3Ca2Cl3O2

A relaxed Na3Ca2Cl3O2 crystal (PBE, Alexandria).

abc: 4.375 4.375 22.576
angles: 90.00 90.00 90.00
Space group I4/mmm (No. 139)
Inequivalent atoms, fractional coordinates:
Na 0.000 0.000 0.000 x2
Na 0.000 0.000 0.380 x4
Ca 0.000 0.500 0.250 x4
Cl 0.000 0.000 0.124 x4
Cl 0.000 0.000 0.500 x2
O 0.000 0.000 0.279 x4

Computed properties:
* E_form (uncorrected): -2129 meV/atom
* N(E_F): 0.0 states/eV per cell